# Ba2Pd5Pb3 PBE optimized geometry
data_Ba2Pd5Pb3
_symmetry_space_group_name_H-M 'I b a m'
_symmetry_Int_Tables_number 72
_symmetry_space_group_name_Hall '-I 2 2c'
_cell_length_a 11.378
_cell_length_b 13.382
_cell_length_c 6.671
_cell_angle_alpha 90.00
_cell_angle_beta 90.00
_cell_angle_gamma 90.00
loop_
_atom_site_label
_atom_site_type_symbol
_atom_site_fract_x
_atom_site_fract_y
_atom_site_fract_z
_atom_site_occupancy
Ba1 Ba 0.234 0.129 0.000 1
Pd1 Pd 0.000 0.000 0.250 1
Pd2 Pd 0.000 0.286 0.250 1
Pd3 Pd 0.161 0.389 0.000 1
Pb1 Pb 0.000 0.500 0.250 1
Pb2 Pb 0.098 0.142 0.500 1
# N(E_F)	22.9	states/eV/cell
# ΔE_f	-4.7	eV per formula unit